<1>
A relaxed RbHf2TlAg crystal, computed with PBE.

abc: 5.402 5.402 6.521
angles: 90.00 90.00 90.00
Space group P4/mmm (No. 123)
Asymmetric unit:
Rb 0.000 0.000 0.000
Hf 0.000 0.500 0.500
Tl 0.000 0.000 0.500
Ag 0.500 0.500 0.000

Summary:
* crystal system: tetragonal
* density: 6.6 g/cm3
* size of the total moment: 0.93 μB per formula unit

***

<2>
A relaxed RbHf2TlAg crystal, computed with PBE.

abc: 5.170 5.170 5.743
angles: 90.00 90.00 90.00
Space group P4/mmm (No. 123)
Asymmetric unit:
Rb 0.000 0.000 0.000
Hf 0.000 0.500 0.000
Tl 0.000 0.000 0.500
Ag 0.500 0.500 0.500

Summary:
* crystal system: tetragonal
* density: 8.2 g/cm3
* size of the total moment: 0.00 μB per formula unit

***

Name the most stable of them. <1>.

***

<1>
A relaxed HfRe3Ag crystal, computed with PBE.

abc: 4.768 4.768 4.768
angles: 90.00 90.00 90.00
Space group Pm-3m (No. 221)
Asymmetric unit:
Hf 0.000 0.000 0.000
Re 0.000 0.000 0.500
Ag 0.500 0.500 0.500

Summary:
* crystal system: cubic
* density: 12.9 g/cm3
* size of the total moment: 0.36 μB per formula unit

***

<2>
A relaxed HfRe3Ag crystal, computed with PBE.

abc: 4.719 4.719 4.719
angles: 90.00 90.00 90.00
Space group Pm-3m (No. 221)
Asymmetric unit:
Hf 0.000 0.000 0.000
Re 0.000 0.500 0.500
Ag 0.500 0.500 0.500

Summary:
* crystal system: cubic
* density: 13.4 g/cm3
* size of the total moment: 0.00 μB per formula unit

***

Name the most stable of them. <1>.

***

<1>
A relaxed HfReAg2 crystal, computed with PBE.

abc: 6.565 6.565 6.565
angles: 90.00 90.00 90.00
Space group Fm-3m (No. 225)
Asymmetric unit:
Hf 0.000 0.000 0.000
Re 0.000 0.000 0.500
Ag 0.250 0.250 0.250

Summary:
* crystal system: cubic
* density: 13.6 g/cm3
* size of the total moment: 0.00 μB per formula unit

***

<2>
A relaxed HfReAg2 crystal, computed with PBE.

abc: 3.832 3.832 20.709
angles: 90.00 90.00 90.00
Space group I-42d (No. 122)
Asymmetric unit:
Hf 0.000 0.000 0.000
Re 0.000 0.000 0.500
Ag 0.242 0.250 0.625

Summary:
* crystal system: tetragonal
* density: 12.7 g/cm3
* size of the total moment: 0.00 μB per formula unit

***

Name the most stable of them. <1>.

***

<1>
A relaxed Hf2ReAg crystal, computed with PBE.

abc: 2.852 5.182 10.796
angles: 90.00 90.00 90.00
Space group Immm (No. 71)
Asymmetric unit:
Hf 0.000 0.000 0.243
Re 0.000 0.000 0.000
Ag 0.000 0.000 0.500

Summary:
* crystal system: orthorhombic
* density: 13.6 g/cm3
* size of the total moment: 0.00 μB per formula unit

***

<2>
A relaxed Hf2ReAg crystal, computed with PBE.

abc: 7.413 7.413 5.824
angles: 90.00 90.00 90.00
Space group I-42d (No. 122)
Asymmetric unit:
Hf 0.236 0.250 0.125
Re 0.000 0.000 0.000
Ag 0.000 0.000 0.500

Summary:
* crystal system: tetragonal
* density: 13.5 g/cm3
* size of the total moment: 0.00 μB per formula unit

***

Name the most stable of them. <2>.

***

<1>
A relaxed Hf2ReAg crystal, computed with PBE.

abc: 3.327 3.327 6.805
angles: 90.00 90.00 90.00
Space group P4/mmm (No. 123)
Asymmetric unit:
Hf 0.000 0.000 0.229
Re 0.500 0.500 0.000
Ag 0.500 0.500 0.500

Summary:
* crystal system: tetragonal
* density: 14.4 g/cm3
* size of the total moment: 0.00 μB per formula unit

***

<2>
A relaxed Hf2ReAg crystal, computed with PBE.

abc: 6.670 6.670 6.670
angles: 90.00 90.00 90.00
Space group Fm-3m (No. 225)
Asymmetric unit:
Hf 0.250 0.250 0.250
Re 0.000 0.000 0.000
Ag 0.000 0.000 0.500

Summary:
* crystal system: cubic
* density: 14.6 g/cm3
* size of the total moment: 0.00 μB per formula unit

***

Name the most stable of them. <1>.

***

<1>
A relaxed HfAgRh3 crystal, computed with PBE.

abc: 4.708 4.708 4.708
angles: 90.00 90.00 90.00
Space group Pm-3m (No. 221)
Asymmetric unit:
Hf 0.000 0.000 0.000
Ag 0.500 0.500 0.500
Rh 0.000 0.500 0.500

Summary:
* crystal system: cubic
* density: 9.5 g/cm3
* size of the total moment: 0.00 μB per formula unit

***

<2>
A relaxed HfAgRh3 crystal, computed with PBE.

abc: 4.754 4.754 4.754
angles: 90.00 90.00 90.00
Space group Pm-3m (No. 221)
Asymmetric unit:
Hf 0.000 0.000 0.000
Ag 0.500 0.500 0.500
Rh 0.000 0.000 0.500

Summary:
* crystal system: cubic
* density: 9.2 g/cm3
* size of the total moment: 0.18 μB per formula unit

***

Name the most stable of them. <2>.

***

<1>
A relaxed HfAg2Rh crystal, computed with PBE.

abc: 7.627 7.627 5.247
angles: 90.00 90.00 90.00
Space group I-42d (No. 122)
Asymmetric unit:
Hf 0.000 0.000 0.000
Ag 0.233 0.250 0.625
Rh 0.000 0.000 0.500

Summary:
* crystal system: tetragonal
* density: 10.8 g/cm3
* size of the total moment: 0.00 μB per formula unit

***

<2>
A relaxed HfAg2Rh crystal, computed with PBE.

abc: 6.542 6.542 6.542
angles: 90.00 90.00 90.00
Space group Fm-3m (No. 225)
Asymmetric unit:
Hf 0.000 0.000 0.000
Ag 0.250 0.250 0.250
Rh 0.000 0.000 0.500

Summary:
* crystal system: cubic
* density: 11.8 g/cm3
* size of the total moment: 0.00 μB per formula unit

***

Name the most stable of them. <2>.

***

<1>
A relaxed HfAg3Rh crystal, computed with PBE.

abc: 5.051 5.051 5.051
angles: 90.00 90.00 90.00
Space group Pm-3m (No. 221)
Asymmetric unit:
Hf 0.000 0.000 0.000
Ag 0.000 0.000 0.500
Rh 0.500 0.500 0.500

Summary:
* crystal system: cubic
* density: 7.8 g/cm3
* size of the total moment: 0.00 μB per formula unit

***

<2>
A relaxed HfAg3Rh crystal, computed with PBE.

abc: 4.904 4.904 4.904
angles: 90.00 90.00 90.00
Space group Pm-3m (No. 221)
Asymmetric unit:
Hf 0.000 0.000 0.000
Ag 0.000 0.500 0.500
Rh 0.500 0.500 0.500

Summary:
* crystal system: cubic
* density: 8.5 g/cm3
* size of the total moment: 0.00 μB per formula unit

***

Name the most stable of them. <2>.

***

<1>
A relaxed Hf2AgRh2 crystal, computed with PBE.

abc: 7.581 7.581 3.155
angles: 90.00 90.00 90.00
Space group P4/mbm (No. 127)
Asymmetric unit:
Hf 0.160 0.340 0.000
Ag 0.000 0.000 0.500
Rh 0.137 0.637 0.500

Summary:
* crystal system: tetragonal
* density: 12.3 g/cm3
* size of the total moment: 0.00 μB per formula unit

***

<2>
A relaxed Hf2AgRh2 crystal, computed with PBE.

abc: 7.764 7.764 3.074
angles: 90.00 90.00 90.00
Space group P4/mbm (No. 127)
Asymmetric unit:
Hf 0.150 0.350 0.000
Ag 0.000 0.000 0.000
Rh 0.142 0.642 0.500

Summary:
* crystal system: tetragonal
* density: 12.0 g/cm3
* size of the total moment: 0.00 μB per formula unit

***

Name the most stable of them. <1>.

***

<1>
A relaxed HfAgRu2 crystal, computed with PBE.

abc: 3.977 3.977 18.545
angles: 90.00 90.00 90.00
Space group I-42d (No. 122)
Asymmetric unit:
Hf 0.000 0.000 0.000
Ag 0.000 0.000 0.500
Ru 0.193 0.250 0.125

Summary:
* crystal system: tetragonal
* density: 11.1 g/cm3
* size of the total moment: 0.00 μB per formula unit

***

<2>
A relaxed HfAgRu2 crystal, computed with PBE.

abc: 6.394 6.394 6.394
angles: 90.00 90.00 90.00
Space group Fm-3m (No. 225)
Asymmetric unit:
Hf 0.000 0.000 0.000
Ag 0.000 0.000 0.500
Ru 0.250 0.250 0.250

Summary:
* crystal system: cubic
* density: 12.4 g/cm3
* size of the total moment: 0.00 μB per formula unit

***

Name the most stable of them. <2>.

***

<1>
A relaxed HfAg3Ru crystal, computed with PBE.

abc: 4.895 4.895 4.895
angles: 90.00 90.00 90.00
Space group Pm-3m (No. 221)
Asymmetric unit:
Hf 0.000 0.000 0.000
Ag 0.000 0.500 0.500
Ru 0.500 0.500 0.500

Summary:
* crystal system: cubic
* density: 8.5 g/cm3
* size of the total moment: 0.01 μB per formula unit

***

<2>
A relaxed HfAg3Ru crystal, computed with PBE.

abc: 5.017 5.017 5.017
angles: 90.00 90.00 90.00
Space group Pm-3m (No. 221)
Asymmetric unit:
Hf 0.000 0.000 0.000
Ag 0.000 0.000 0.500
Ru 0.500 0.500 0.500

Summary:
* crystal system: cubic
* density: 7.9 g/cm3
* size of the total moment: 0.00 μB per formula unit

***

Name the most stable of them. <1>.

***

<1>
A relaxed Hf3AgS crystal, computed with PBE.

abc: 5.081 5.081 5.081
angles: 90.00 90.00 90.00
Space group Pm-3m (No. 221)
Asymmetric unit:
Hf 0.000 0.000 0.500
Ag 0.000 0.000 0.000
S 0.500 0.500 0.500

Summary:
* crystal system: cubic
* density: 8.5 g/cm3
* size of the total moment: 0.00 μB per formula unit

***

<2>
A relaxed Hf3AgS crystal, computed with PBE.

abc: 4.737 4.737 4.737
angles: 90.00 90.00 90.00
Space group Pm-3m (No. 221)
Asymmetric unit:
Hf 0.000 0.000 0.500
Ag 0.500 0.500 0.500
S 0.000 0.000 0.000

Summary:
* crystal system: cubic
* density: 10.6 g/cm3
* size of the total moment: 0.00 μB per formula unit

***

Name the most stable of them. <2>.

***

<1>
A relaxed HfAg2S4 crystal, computed with PBE.

abc: 3.577 13.054 11.824
angles: 90.00 90.00 90.00
Space group Cmcm (No. 63)
Asymmetric unit:
Hf 0.000 0.101 0.250
Ag 0.000 0.368 0.068
S 0.000 0.000 0.000
S 0.000 0.303 0.629
S 0.000 0.458 0.250

Summary:
* crystal system: orthorhombic
* density: 6.3 g/cm3
* size of the total moment: 0.00 μB per formula unit

***

<2>
A relaxed HfAg2S4 crystal, computed with PBE.

abc: 5.048 5.048 12.596
angles: 90.00 90.00 90.00
Space group I4/mmm (No. 139)
Asymmetric unit:
Hf 0.000 0.000 0.000
Ag 0.000 0.000 0.388
S 0.000 0.000 0.195
S 0.000 0.500 0.000

Summary:
* crystal system: tetragonal
* density: 5.4 g/cm3
* size of the total moment: 1.93 μB per formula unit

***

Name the most stable of them. <1>.